Material: PrSi4Rh4
Method: DFT, PBE-GGA
State: relaxed

extended XYZ file:
```
18
Lattice="4.1846 0.0000 0.0000 0.0000 8.5944 0.0000 0.0000 0.0000 8.5944" Properties=species:S:1:pos:R:3 pbc="T T T"
Pr 0.0000 0.0000 0.0000
Pr 2.0923 4.2972 4.2972
Si 2.0923 7.1912 2.3976
Si 2.0923 1.4032 6.1969
Si 0.0000 6.6948 5.7004
Si 0.0000 2.8940 6.6948
Si 0.0000 5.7004 1.8997
Si 2.0923 2.3976 1.4032
Si 2.0923 6.1969 7.1912
Si 0.0000 1.8997 2.8940
Rh 2.0923 3.0621 7.7906
Rh 0.0001 5.1010 7.3594
Rh 2.0923 5.5323 0.8038
Rh 4.1845 1.2351 5.1010
Rh 2.0922 7.7906 5.5323
Rh 4.1845 7.3594 3.4934
Rh 0.0001 3.4934 1.2351
Rh 2.0922 0.8038 3.0621
```

Results
E_form (uncorrected)   -0.789 eV/atom
ρ   7.14 g/cm3



Material: PrSi4Rh2
Method: DFT, PBE-GGA
State: relaxed

extended XYZ file:
```
28
Lattice="-0.3232 -3.5650 2.2401 6.4016 -0.5981 -0.0282 0.8968 8.9230 14.3298" Properties=species:S:1:pos:R:3 pbc="T T T"
Pr 0.3987 3.0407 10.8669
Pr 6.5765 1.7192 5.6749
Pr 3.9564 6.4674 12.8533
Pr 3.0188 -1.7075 3.6884
Si 2.4282 5.1255 10.4974
Si 4.5470 -0.3656 6.0444
Si 5.5677 4.0424 13.2068
Si 1.4075 0.7175 3.3350
Si 4.9533 4.7725 10.3000
Si 2.0219 -0.0126 6.2418
Si 1.7145 4.5195 13.4101
Si 5.2607 0.2404 3.1317
Si 1.3035 3.7546 8.1534
Si 5.6717 1.0053 8.3883
Si 4.7370 5.5960 15.5594
Si 2.2383 -0.8361 0.9824
Si 3.2781 2.7110 6.7774
Si 3.6972 2.0489 9.7643
Si 5.9858 -2.6683 2.5874
Si 0.9894 7.4282 13.9544
Rh 5.1640 3.4163 8.1719
Rh 1.8112 1.3436 8.3698
Rh 2.1914 5.8115 15.5351
Rh 4.7838 -1.0516 1.0067
Rh 6.9948 5.5574 11.8436
Rh -0.0196 -0.7975 4.6982
Rh 3.5618 3.3713 11.8493
Rh 3.4134 1.3886 4.6925
```

Results
E_form (uncorrected)   -0.724 eV/atom
ρ   6.64 g/cm3



Material: Pr3Si2Rh2
Method: DFT, PBE-GGA
State: relaxed

extended XYZ file:
```
28
Lattice="5.7767 0.0000 0.0000 0.0000 8.0083 0.0000 0.0000 0.0000 13.4146" Properties=species:S:1:pos:R:3 pbc="T T T"
Pr 0.7716 4.9080 1.3653
Pr 5.0052 3.1003 8.0725
Pr 5.0052 0.9039 5.3420
Pr 0.7716 7.1045 12.0493
Pr 5.0052 3.1003 12.0493
Pr 0.7716 4.9080 5.3420
Pr 0.7716 7.1045 8.0725
Pr 5.0052 0.9039 1.3653
Pr 2.0833 2.0732 3.3536
Pr 3.6934 5.9351 10.0609
Pr 3.6934 6.0774 3.3536
Pr 2.0833 1.9310 10.0609
Si 2.1910 2.0021 0.0000
Si 3.5858 6.0062 6.7073
Si 3.5858 6.0062 0.0000
Si 2.1910 2.0021 6.7073
Si 4.8751 3.2413 3.3536
Si 0.9017 4.7671 10.0609
Si 0.9017 7.2454 3.3536
Si 4.8751 0.7629 10.0609
Rh 3.6093 3.7529 1.2019
Rh 2.1674 4.2554 7.9092
Rh 2.1674 7.7571 5.5054
Rh 3.6093 0.2512 12.2127
Rh 2.1674 4.2554 12.2127
Rh 3.6093 3.7529 5.5054
Rh 3.6093 0.2512 7.9092
Rh 2.1674 7.7571 1.2019
```

Results
E_form (uncorrected)   -0.827 eV/atom
ρ   7.33 g/cm3



Material: PrSi2Rh6
Method: DFT, PBE-GGA
State: relaxed

extended XYZ file:
```
18
Lattice="-3.7919 3.9100 5.5496 -0.7460 -3.0738 7.1035 3.9232 3.0426 5.9846" Properties=species:S:1:pos:R:3 pbc="T T T"
Pr -0.3073 1.9394 9.3189
Pr -0.4610 2.9091 13.9783
Si -0.0768 0.4848 2.3297
Si -0.4498 -1.0521 5.8815
Si 1.8848 2.0061 5.3220
Si -1.9728 2.4398 5.1045
Rh 1.8648 2.5058 7.6069
Rh -2.4795 1.3729 11.0308
Rh -0.5326 -0.6346 8.1814
Rh 1.4818 0.9276 11.2541
Rh -2.2121 0.4329 6.2817
Rh -1.8491 1.9285 2.8255
Rh -0.0821 4.5134 10.4563
Rh 1.9048 1.5065 3.0371
Rh 0.0598 3.4089 5.7373
Rh 1.5418 0.0109 6.4934
Rh -2.0964 2.9512 7.3836
Rh -0.3671 -1.4695 3.5815
```

Results
E_form (uncorrected)   -0.177 eV/atom
ρ   8.14 g/cm3



Material: PrSi4Rh6
Method: DFT, PBE-GGA
State: relaxed

extended XYZ file:
```
11
Lattice="3.8295 0.0000 0.0000 0.0000 6.1049 -3.5246 0.0000 0.0000 7.0493" Properties=species:S:1:pos:R:3 pbc="T T T"
Pr 0.0000 0.0000 0.0000
Si 1.9147 4.8709 1.3874
Si 1.9147 2.4679 0.0000
Si 1.9147 4.8709 -1.3874
Si 0.0000 2.0350 3.5247
Rh 0.0000 3.2522 -1.4163
Rh 1.9147 3.6627 3.5246
Rh 0.0000 3.2522 1.4163
Rh 0.0000 5.7053 0.0000
Rh 1.9147 1.2211 4.9343
Rh 1.9147 1.2211 2.1150
```

Results
E_form (uncorrected)   -0.976 eV/atom
ρ   8.77 g/cm3



Material: PrSi2Rh
Method: DFT, PBE-GGA
State: relaxed

extended XYZ file:
```
16
Lattice="-1.2058 1.8113 -3.7273 4.6250 -6.0372 -4.4300 -8.1192 -2.6282 3.8482" Properties=species:S:1:pos:R:3 pbc="T T T"
Pr -0.9325 -4.0674 -4.1737
Pr 0.5852 -0.6452 -3.0016
Pr 2.8341 -3.5807 -5.1557
Pr -3.7674 -2.7868 -0.1355
Si -6.0500 -3.1236 -2.0595
Si -2.4178 -1.8551 -2.6181
Si -3.8048 -0.0446 -1.2896
Si -2.2821 -4.9990 -1.6910
Si -1.0116 -0.7483 -0.0364
Si 1.3501 -3.7305 -2.2496
Si -3.6883 -6.1058 -4.2728
Si -0.8951 -6.8095 -3.0196
Rh -3.9412 -3.9718 -3.1539
Rh -0.7587 -2.8823 -1.1552
Rh 1.5964 -5.9564 -3.4110
Rh -6.2963 -0.8977 -0.8981
```

Results
E_form (uncorrected)   -0.852 eV/atom
ρ   6.58 g/cm3